# 1
The following is a GGA-PBE calculation of a geometry-optimized Mg2BeMo structure, from Alexandria via LeMat-Bulk. Values from VASP.

As for the formation energy from the elements: 0.342 eV per atom. As for the total magnetic moment: 0.000 μB per atom.

Cell and atoms, written as Quantum ESPRESSO input:
```
&SYSTEM
  ibrav = 0, nat = 4, ntyp = 3
/
ATOMIC_SPECIES
Mo 95.94 Mo.upf
Mg 24.30 Mg.upf
Be 9.01 Be.upf
ATOMIC_POSITIONS angstrom
Mo 0.0000 2.3192 3.4087
Mg 1.8820 0.8927 1.7165
Mg 0.0000 3.7445 6.0052
Be 1.8820 3.7546 4.2355
CELL_PARAMETERS angstrom
3.7641 0.0000 0.0000
0.0000 2.9006 0.0358
0.0000 1.3837 6.1106
```

# 2
The following is a GGA-PBE calculation of a geometry-optimized Mg2BeMo structure, from Alexandria via LeMat-Bulk. Values from VASP.

As for the formation energy from the elements: 0.450 eV per atom. As for the total magnetic moment: 0.000 μB per atom.

Cell and atoms, written as Quantum ESPRESSO input:
```
&SYSTEM
  ibrav = 0, nat = 4, ntyp = 3
/
ATOMIC_SPECIES
Mo 95.94 Mo.upf
Mg 24.30 Mg.upf
Be 9.01 Be.upf
ATOMIC_POSITIONS angstrom
Mo 1.1695 2.2749 1.3342
Mg 0.0000 0.0000 0.0000
Mg 3.7274 2.2712 0.0000
Be 2.5579 -0.0037 1.3342
CELL_PARAMETERS angstrom
5.1159 -0.0075 0.0000
2.3389 4.5499 0.0000
-3.7274 -2.2712 2.6684
```